Entry 1:
## ReAgAsO (GGA-PBE)

Data for a geometry-optimized ReAgAsO structure.

## Properties
As for the symmetry: Pmc2_1 (26). Its total DFT energy (no corrections) is -6.41 eV per atom. The calculation puts the excess energy over the best structure of this formula in the dataset at 0.00 eV per formula unit. The theoretical density is 8.8 g cm⁻³.

Cell lengths 2.9605, 6.7495, 7.3111 Å; angles 90.00, 90.00, 90.00 degrees
With the nearest neighbours (Å) after each atom.
Fractional positions:
Re 0.5000 0.5429 0.5067  2 O 1.88-1.89
O 0.5000 0.4477 0.2644  2 Re 1.88-1.89
Ag 0.0000 0.8264 0.0598  2 As 2.57-2.66
O 0.5000 0.5523 0.7644  2 Re 1.88-1.89
As 0.0000 0.8223 0.4231  2 Re 2.47, 2 Ag 2.57-2.66
Ag 0.0000 0.1736 0.5598  2 As 2.57-2.66
As 0.0000 0.1777 0.9231  2 Re 2.47, 2 Ag 2.57-2.66
Re 0.5000 0.4571 0.0067  2 O 1.88-1.89

=====

Entry 2:
## Na2ZnPdS4 (GGA-PBE)

Data for a geometry-optimized Na2ZnPdS4 structure.

## Properties
As for the symmetry: C2 (5). Its total DFT energy (no corrections) is -3.69 eV per atom. The theoretical density is 3.3 g cm⁻³.

Cell lengths 6.0943, 6.0943, 6.7188 Å; angles 123.31, 123.31, 77.70 degrees
With the nearest neighbours (Å) after each atom.
Fractional positions:
Pd 0.2652 0.7348 0.0000  4 S 2.29
Na 0.7652 0.2348 0.0000  4 S 2.74-2.75
S 0.6246 0.9037 0.4499  1 Pd 2.29, 1 Zn 2.33
S 0.3517 0.0190 0.9213  1 Pd 2.29, 1 Zn 2.33
Na 0.5148 0.4852 0.5000  8 S 3.00-3.34
S 0.9810 0.6483 0.0787  1 Pd 2.29, 1 Zn 2.33
Zn 0.0142 0.9858 0.5000  4 S 2.33
S 0.0963 0.3754 0.5501  1 Pd 2.29, 1 Zn 2.33

=====

Entry 3:
## RbPaPb (GGA-PBE)

Data for a geometry-optimized RbPaPb structure.

## Properties
As for the symmetry: F-43m (216). Its total DFT energy (no corrections) is -3.78 eV per atom. The calculation puts the excess energy over the best structure of this formula in the dataset at 0.00 eV per formula unit. The theoretical density is 7.0 g cm⁻³.

Cell lengths 5.6125, 5.6125, 5.6125 Å; angles 60.00, 60.00, 60.00 degrees
With the nearest neighbours (Å) after each atom.
Fractional positions:
Pb 0.0000 0.0000 0.0000  4 Rb 3.44, 4 Pa 3.44
Rb 0.7500 0.7500 0.7500  4 Pb 3.44
Pa 0.2500 0.2500 0.2500  4 Pb 3.44

=====

Entry 4:
## Nb2Cd3Mo4C3 (GGA-PBE)

Data for a geometry-optimized Nb2Cd3Mo4C3 structure.

## Properties
As for the symmetry: C2/c (15). Its total DFT energy (no corrections) is -7.91 eV per atom. The theoretical density is 8.6 g cm⁻³.

Cell lengths 5.4203, 5.4203, 14.6719 Å; angles 100.74, 100.74, 60.03 degrees
With the nearest neighbours (Å) after each atom.
Fractional positions:
Cd 0.2249 0.4166 0.2506  6 Cd 3.02-3.37, 4 Mo 3.03-3.04, 2 Nb 3.05-3.07
C 0.5000 0.0000 0.0000  4 Mo 2.12, 2 Nb 2.17
C 0.8334 0.3335 0.0001  4 Mo 2.11-2.12, 2 Nb 2.18
Cd 0.7751 0.5834 0.7494  6 Cd 3.02-3.37, 4 Mo 3.03-3.04, 2 Nb 3.05-3.07
Cd 0.5834 0.7751 0.2494  6 Cd 3.02-3.37, 4 Mo 3.03-3.04, 2 Nb 3.05-3.07
Nb 0.3606 0.5284 0.5851  3 C 2.17-2.18
Mo 0.3077 0.1396 0.4234  3 C 2.11-2.12
C 0.3335 0.8333 0.5001  4 Mo 2.11-2.12, 2 Nb 2.18
Mo 0.0265 0.1912 0.5766  3 C 2.11-2.12
C 0.6665 0.1667 0.4999  4 Mo 2.11-2.12, 2 Nb 2.18
Mo 0.8088 0.9735 0.9234  3 C 2.11-2.12
Nb 0.5284 0.3606 0.0851  3 C 2.17-2.18
Mo 0.1912 0.0265 0.0766  3 C 2.11-2.12
Cd 0.4166 0.2249 0.7506  6 Cd 3.02-3.37, 4 Mo 3.03-3.04, 2 Nb 3.05-3.07
Mo 0.8604 0.6923 0.0766  3 C 2.11-2.12
C 0.1666 0.6665 0.9999  4 Mo 2.11-2.12, 2 Nb 2.18
Mo 0.9735 0.8088 0.4234  3 C 2.11-2.12
Cd 0.9424 0.0576 0.2500  6 Cd 3.02-3.37, 4 Mo 3.03, 2 Nb 3.06
Mo 0.6923 0.8604 0.5766  3 C 2.11-2.12
Nb 0.4716 0.6394 0.9149  3 C 2.17-2.18
C 0.0000 0.5000 0.5000  4 Mo 2.12, 2 Nb 2.17
Nb 0.6394 0.4716 0.4149  3 C 2.17-2.18
Cd 0.0576 0.9424 0.7500  6 Cd 3.02-3.37, 4 Mo 3.03, 2 Nb 3.06
Mo 0.1396 0.3077 0.9234  3 C 2.11-2.12

=====

Entry 5:
## GdAgSnTe3 (GGA-PBE)

Data for a geometry-optimized GdAgSnTe3 structure.

## Properties
As for the symmetry: P2_1/m (11). Its total DFT energy (no corrections) is -4.16 eV per atom. The calculation puts the excess energy over the best structure of this formula in the dataset at 0.05 eV per formula unit. The theoretical density is 6.9 g cm⁻³.

Cell lengths 8.2967, 4.3482, 10.6578 Å; angles 90.00, 106.17, 90.00 degrees
With the nearest neighbours (Å) after each atom.
Fractional positions:
Gd 0.8007 0.7500 0.3302  6 Te 3.08-3.14, 2 Ag 3.45
Te 0.0792 0.2500 0.3633  3 Gd 3.12-3.14, 2 Sn 3.25
Te 0.9208 0.7500 0.6367  3 Gd 3.12-3.14, 2 Sn 3.25
Te 0.4594 0.7500 0.6605  1 Ag 2.80, 2 Gd 3.08
Sn 0.7658 0.2500 0.7983  7 Te 3.25-3.61
Te 0.5406 0.2500 0.3395  1 Ag 2.80, 2 Gd 3.08
Gd 0.1993 0.2500 0.6698  6 Te 3.08-3.14, 2 Ag 3.45
Te 0.7909 0.7500 0.0344  3 Ag 2.91-3.05, 1 Gd 3.13
Ag 0.4125 0.7500 0.9108  4 Te 2.80-3.05, 2 Ag 2.98
Te 0.2091 0.2500 0.9656  3 Ag 2.91-3.05, 1 Gd 3.13
Ag 0.5875 0.2500 0.0892  4 Te 2.80-3.05, 2 Ag 2.98
Sn 0.2342 0.7500 0.2017  7 Te 3.25-3.61

=====

Entry 6:
## Gd2ErScIn2 (GGA-PBE)

Data for a geometry-optimized Gd2ErScIn2 structure.

## Properties
As for the symmetry: P-6m2 (187). Its total DFT energy (no corrections) is -4.64 eV per atom. The theoretical density is 7.7 g cm⁻³.

Cell lengths 5.2969, 5.2969, 6.6924 Å; angles 90.00, 90.00, 120.00 degrees
With the nearest neighbours (Å) after each atom.
Fractional positions:
Er 0.0000 0.0000 0.0000  5 In 3.06-3.35
Gd 0.3333 0.6667 0.2572  2 Gd 3.25-3.44, 3 Sc 3.46, 6 In 3.46-3.51, 3 Er 3.51
Gd 0.3333 0.6667 0.7428  2 Gd 3.25-3.44, 3 Sc 3.46, 6 In 3.46-3.51, 3 Er 3.51
In 0.6667 0.3333 0.0000  3 Er 3.06, 2 Sc 3.35
Sc 0.6667 0.3333 0.5000  5 In 3.06-3.35
In 0.0000 0.0000 0.5000  3 Sc 3.06, 2 Er 3.35

=====

Entry 7:
## DyHoNi4 (GGA-PBE)

Data for a geometry-optimized DyHoNi4 structure.

## Properties
As for the symmetry: F-43m (216). For the formation energy, the calculation gives -44.1 kJ per mole of atoms. Its total DFT energy (no corrections) is -5.70 eV per atom. The calculation puts the excess energy over the best structure of this formula in the dataset at 0.00 eV per formula unit. The theoretical density is 10.4 g cm⁻³.

Cell lengths 5.0293, 5.0293, 5.0293 Å; angles 60.00, 60.00, 60.00 degrees
With the nearest neighbours (Å) after each atom.
Fractional positions:
Ni 0.3758 0.3758 0.3758  6 Ni 2.50-2.53
Dy 0.0000 0.0000 0.0000  12 Ni 2.95, 4 Ho 3.08
Ni 0.3758 0.8726 0.3758  6 Ni 2.50-2.53
Ni 0.8726 0.3758 0.3758  6 Ni 2.50-2.53
Ho 0.7500 0.7500 0.7500  12 Ni 2.95, 4 Dy 3.08
Ni 0.3758 0.3758 0.8726  6 Ni 2.50-2.53

=====

Entry 8:
## ThZr (GGA-PBE)

Data for a geometry-optimized ThZr structure.

## Properties
As for the symmetry: Pmm2 (25). For the formation energy, the calculation gives 10.9 kJ per mole of atoms. Its total DFT energy (no corrections) is -7.87 eV per atom. The theoretical density is 9.7 g cm⁻³.

Cell lengths 5.8317, 6.7854, 5.6105 Å; angles 90.00, 90.00, 90.00 degrees
With the nearest neighbours (Å) after each atom.
Fractional positions:
Th 0.9865 0.0000 0.0000  6 Zr 3.40-3.50, 6 Th 3.46-3.52
Zr 0.3266 0.5000 0.5000  6 Th 3.31-3.40, 6 Zr 3.33-3.35
Th 0.3500 0.0000 0.5000  6 Th 3.32-3.54, 6 Zr 3.40-3.47
Zr 0.0204 0.5000 0.0000  6 Zr 3.18-3.42, 6 Th 3.40-3.41
Zr 0.4966 0.7280 0.0000  5 Zr 3.09-3.42, 3 Th 3.40-3.41
Zr 0.4966 0.2720 0.0000  5 Zr 3.09-3.42, 3 Th 3.40-3.41
Th 0.8283 0.2658 0.5000  5 Th 3.18-3.54, 6 Zr 3.31-3.41
Th 0.8283 0.7342 0.5000  5 Th 3.18-3.54, 6 Zr 3.31-3.41

=====

Entry 9:
## CuHgSI (GGA-PBE)

Data for a geometry-optimized CuHgSI structure.

## Properties
As for the symmetry: P2_12_12_1 (19). Its total DFT energy (no corrections) is -2.62 eV per atom. The calculation puts the excess energy over the best structure of this formula in the dataset at 0.00 eV per formula unit. The theoretical density is 6.4 g cm⁻³.

Cell lengths 7.0846, 7.1336, 8.6749 Å; angles 90.00, 90.00, 90.00 degrees
With the nearest neighbours (Å) after each atom.
Fractional positions:
Hg 0.0262 0.0033 0.7329  2 S 2.42
Hg 0.4738 0.9967 0.2329  2 S 2.42
I 0.9124 0.7842 0.1303  2 Cu 2.63-2.71
I 0.4124 0.7158 0.8697  2 Cu 2.63-2.71
I 0.5876 0.2158 0.6303  2 Cu 2.63-2.71
S 0.8812 0.7490 0.5906  2 Cu 2.28-2.32, 2 Hg 2.42
Cu 0.4328 0.3367 0.8875  2 S 2.28-2.32
Cu 0.0672 0.6633 0.3875  2 S 2.28-2.32
S 0.1188 0.2490 0.9094  2 Cu 2.28-2.32, 2 Hg 2.42
S 0.6188 0.2510 0.0906  2 Cu 2.28-2.32, 2 Hg 2.42
Hg 0.5262 0.4967 0.2671  2 S 2.42
Cu 0.5672 0.8367 0.6125  2 S 2.28-2.32
I 0.0876 0.2842 0.3697  2 Cu 2.63-2.71
S 0.3812 0.7510 0.4094  2 Cu 2.28-2.32, 2 Hg 2.42
Cu 0.9328 0.1633 0.1125  2 S 2.28-2.32
Hg 0.9738 0.5033 0.7671  2 S 2.42

=====

Entry 10:
## TlCuTe2PtSe (GGA-PBE)

Data for a geometry-optimized TlCuTe2PtSe structure.

## Properties
As for the symmetry: Cmcm (63). Its total DFT energy (no corrections) is -3.86 eV per atom. The theoretical density is 9.0 g cm⁻³.

Cell lengths 6.8221, 6.8221, 11.1210 Å; angles 90.00, 90.00, 145.40 degrees
With the nearest neighbours (Å) after each atom.
Fractional positions:
Se 0.9757 0.0243 0.7500  2 Cu 2.44
Te 0.6332 0.3668 0.9751  1 Cu 2.60, 2 Pt 2.68
Te 0.6332 0.3668 0.5249  1 Cu 2.60, 2 Pt 2.68
Tl 0.2628 0.7372 0.7500  2 Cu 3.14, 2 Te 3.34, 2 Se 3.44
Te 0.3668 0.6332 0.0249  1 Cu 2.60, 2 Pt 2.68
Se 0.0243 0.9757 0.2500  2 Cu 2.44
Cu 0.4207 0.5793 0.2500  2 Se 2.44, 2 Te 2.60
Cu 0.5793 0.4207 0.7500  2 Se 2.44, 2 Te 2.60
Te 0.3668 0.6332 0.4751  1 Cu 2.60, 2 Pt 2.68
Tl 0.7372 0.2628 0.2500  2 Cu 3.14, 2 Te 3.34, 2 Se 3.44
Pt 0.0000 0.0000 0.0000  4 Te 2.68, 2 Se 2.80
Pt 0.0000 0.0000 0.5000  4 Te 2.68, 2 Se 2.80

=====

Entry 11:
## ThTcSb (GGA-PBE)

Data for a geometry-optimized ThTcSb structure.

## Properties
As for the symmetry: F-43m (216). Its total DFT energy (no corrections) is -6.99 eV per atom. The theoretical density is 9.2 g cm⁻³.

Cell lengths 4.8652, 4.8652, 4.8652 Å; angles 60.00, 60.00, 60.00 degrees
With the nearest neighbours (Å) after each atom.
Fractional positions:
Th 0.7500 0.7500 0.7500  4 Sb 2.98
Tc 0.2500 0.2500 0.2500  4 Sb 2.98
Sb 0.0000 0.0000 0.0000  4 Tc 2.98, 4 Th 2.98

=====

Entry 12:
## HfNi2Te2 (GGA-PBE)

Data for a geometry-optimized HfNi2Te2 structure.

## Properties
As for the symmetry: I4/mmm (139). Its total DFT energy (no corrections) is -5.45 eV per atom. The theoretical density is 9.5 g cm⁻³.

Cell lengths 5.2448, 5.2448, 5.2448 Å; angles 123.20, 123.20, 84.55 degrees
With the nearest neighbours (Å) after each atom.
Fractional positions:
Ni 0.3438 0.3438 0.0000  1 Ni 2.43, 4 Te 2.60, 1 Hf 2.67
Te 0.2500 0.7500 0.5000  4 Ni 2.60
Hf 0.0000 0.0000 0.0000  2 Ni 2.67
Ni 0.6562 0.6562 0.0000  1 Ni 2.43, 4 Te 2.60, 1 Hf 2.67
Te 0.7500 0.2500 0.5000  4 Ni 2.60